Tb4ErTm2 | Alexandria | PBE | relaxed; formation enthalpy at 0 K = 138 meV/atom; size of the total moment = 0.000 μB/cell; energy relative to the lowest polymorph listed for this composition = 0.1009 eV/atom; uncorrected energy = -31.1 eV/f.u.
1.0
6.119 0.000 -0.310
0.000 6.475 0.000
-2.442 0.000 11.139
Tb Tm Er
8 4 2
direct
0.966 0.250 0.137
0.653 0.995 0.287
0.147 0.750 0.447
0.034 0.750 0.863
0.347 0.005 0.713
0.653 0.505 0.287
0.347 0.495 0.713
0.853 0.250 0.553
0.710 0.750 0.575
0.391 0.250 0.003
0.290 0.250 0.425
0.609 0.750 0.997
0.158 0.750 0.163
0.842 0.250 0.837